Entry from Alexandria via LeMat-Bulk: crystalline Th6TiIn10 at its relaxed geometry (PBE).

Summary:
- energy of formation from the pure elements (eV per atom) = -0.1496
- symmetry = P-31m, No. 162

```
17
Lattice="-0.3274 5.0196 3.8519 -5.9108 -4.6506 5.5580 9.2176 -0.5382 1.4847" Properties=species:S:1:pos:R:3 pbc="T T T"
Th 1.0508 1.6288 5.5471
Th 5.3865 3.3230 3.7079
Th -3.8450 0.8136 6.1935
Th 1.9286 -1.7979 5.3475
Th 3.5037 1.1585 1.6287
Th -2.3932 -0.4445 3.2164
Ti -0.1637 2.5098 1.9260
In 2.2497 0.0545 8.4103
In 1.9602 3.8636 3.4220
In -1.6844 2.8728 4.4033
In 0.7297 -0.2237 2.4843
In 6.9300 0.6179 1.9146
In -4.5538 -2.5038 5.0066
In 4.0111 0.6008 4.7684
In -1.0317 -0.7700 6.1262
In -0.8680 -3.2798 4.2003
In 4.1748 -1.9090 2.8425
```

---

Entry from Alexandria via LeMat-Bulk: crystalline Ho10ThSc4 at its relaxed geometry (PBE).

Summary:
- energy of formation from the pure elements (eV per atom) = 0.6088
- symmetry = I4/m, No. 87

```
15
Lattice="5.9855 0.0000 2.7027 2.9927 8.6000 1.3513 -0.5465 0.0000 9.1893" Properties=species:S:1:pos:R:3 pbc="T T T"
Ho 2.7195 4.3000 5.9460
Ho 4.5424 3.4208 10.0141
Ho 6.0267 1.3426 6.4747
Ho 5.3031 7.2574 8.0773
Ho 6.9766 5.1792 4.6234
Ho 3.8893 5.1792 3.2293
Ho 5.7122 4.3000 7.2974
Ho 1.4551 3.4208 8.6200
Ho 3.1286 1.3426 5.1661
Ho 2.4050 7.2574 6.7687
Th 0.0000 0.0000 0.0000
Sc 5.1246 7.6801 4.6092
Sc 5.8175 6.5082 11.0537
Sc 2.6142 2.0918 2.1897
Sc 3.3071 0.9199 8.6342
```

---

Entry from Alexandria via LeMat-Bulk: crystalline SmY5Er2Tm at its relaxed geometry (PBE).

Summary:
- energy of formation from the pure elements (eV per atom) = 0.1559
- symmetry = Cmc2_1, No. 36

```
18
Lattice="-3.2943 3.4213 -2.9676 -6.2157 -7.7309 3.2716 -2.1829 5.4294 8.6825" Properties=species:S:1:pos:R:3 pbc="T T T"
Sm -7.5507 0.8421 4.0683
Sm -3.1129 -2.2822 0.8245
Y -6.1494 -4.5341 1.5991
Y -6.9247 3.4572 6.3882
Y -9.1490 -1.7636 8.1230
Y -6.2806 0.1950 7.1968
Y -10.3960 -1.2832 4.7766
Y -4.5592 3.2056 3.4723
Y -5.0522 -1.6312 3.7277
Y -2.4922 2.7547 0.6580
Y -5.2145 0.4327 1.0029
Y -0.3004 -0.0755 0.2464
Er -9.5309 1.4765 6.9979
Er -3.3491 2.6655 6.7908
Er -2.4551 0.3721 3.1543
Er -8.2849 -1.6922 1.9616
Tm -5.1161 5.8136 7.0971
Tm -7.4582 -2.5018 5.3949
```

---

Entry from Alexandria via LeMat-Bulk: crystalline LiY3U3N8 at its relaxed geometry (PBE).

Summary:
- ΔE_f (raw) (eV/atom) = -1.183
- symmetry = R-3m, No. 166

```
15
Lattice="-6.7329 0.7811 -0.2764 2.8818 -5.5481 -2.6333 -0.1733 0.8773 6.6997" Properties=species:S:1:pos:R:3 pbc="T T T"
Li -0.0866 0.4386 3.3499
Y 0.0000 0.0000 0.0000
Y 1.4409 -2.7740 -1.3166
Y -1.9256 -2.3835 -1.4548
U -3.4531 0.8292 3.2117
U -2.0122 -1.9448 1.8951
U 1.3543 -2.3354 2.0332
N -0.2879 -2.3701 0.3097
N -3.7365 -1.5195 3.4805
N -3.6658 -2.0092 0.3700
N -0.3585 -1.8804 3.4201
N -5.0572 0.6697 1.6414
N 1.0328 -4.5593 2.1487
N -1.8068 0.2928 1.7752
N -2.2176 -4.1824 2.0149
```

---

Entry from Alexandria via LeMat-Bulk: crystalline La2PaHg at its relaxed geometry (PBE).

Summary:
- energy of formation from the pure elements (eV per atom) = -0.0276
- E above lowest polymorph (eV/atom) = 0.073
- symmetry = P4/mmm, No. 123

```
4
Lattice="-1.9805 0.3493 2.7645 -4.6944 -1.0394 -3.2318 0.5104 -5.6685 1.0818" Properties=species:S:1:pos:R:3 pbc="T T T"
Pa -0.9903 0.1746 1.3823
Hg -3.0823 -3.1793 0.3072
La 0.2552 -2.8342 0.5409
La -2.3472 -0.5197 -1.6159
```

---

Entry from Alexandria via LeMat-Bulk: crystalline Be3Ir4 at its relaxed geometry (PBE).

Summary:
- energy of formation from the pure elements (eV per atom) = -0.3733
- E above lowest polymorph (eV/atom) = 0.000
- symmetry = I4/mmm, No. 139

```
7
Lattice="-1.4012 1.4012 10.3571 1.4012 -1.4012 10.3571 1.4012 1.4012 -10.3571" Properties=species:S:1:pos:R:3 pbc="T T T"
Be 0.0000 0.0000 0.0000
Be 0.0000 0.0000 14.9790
Be 0.0000 0.0000 5.7352
Ir 0.0000 0.0000 17.3867
Ir 0.0000 0.0000 3.3275
Ir 0.0000 0.0000 11.7276
Ir 0.0000 0.0000 8.9866
```

---

Entry from Alexandria via LeMat-Bulk: crystalline MgTiPt4 at its relaxed geometry (PBE).

Summary:
- energy of formation from the pure elements (eV per atom) = -0.7128
- symmetry = C2/m, No. 12

```
6
Lattice="-1.1304 -2.5883 0.0184 3.5269 -3.0931 -1.6527 0.2686 -1.6074 7.1678" Properties=species:S:1:pos:R:3 pbc="T T T"
Mg 1.3326 -3.6444 2.7668
Ti 0.0000 0.0000 0.0000
Pt 1.1148 -5.0734 5.1533
Pt 3.2282 -4.4870 0.6892
Pt 1.5504 -2.2154 0.3803
Pt -0.5630 -2.8018 4.8443
```

---

Entry from Alexandria via LeMat-Bulk: crystalline Bi2PtS at its relaxed geometry (PBE).

Summary:
- ΔE_f (raw) (eV/atom) = -0.164
- symmetry = R3m, No. 160

```
4
Lattice="-2.7128 -2.0991 -1.7965 -0.3444 -3.7803 0.7641 -5.9399 -0.3821 5.2430" Properties=species:S:1:pos:R:3 pbc="T T T"
Bi -4.7843 -0.7526 3.9310
Bi -2.1354 -1.6019 0.9234
Pt -7.9700 -4.3043 4.5457
S -4.5457 -3.1156 2.1589
```

---

Entry from Alexandria via LeMat-Bulk: crystalline MnAs2Pt at its relaxed geometry (PBE).

Summary:
- energy of formation from the pure elements (eV per atom) = -0.1451
- E above lowest polymorph (eV/atom) = 0.000
- symmetry = P4mm, No. 99

```
4
Lattice="3.4660 0.0109 0.0000 -0.0108 3.4660 0.0000 0.0000 0.0000 5.5494" Properties=species:S:1:pos:R:3 pbc="T T T"
As 0.0000 0.0000 5.2132
As 1.7276 1.7384 1.7779
Mn 0.0000 0.0000 2.5620
Pt 1.7276 1.7384 4.3205
```

---

Entry from Alexandria via LeMat-Bulk: crystalline Pa3Co6Ge2 at its relaxed geometry (PBE).

Summary:
- energy of formation from the pure elements (eV per atom) = -0.5055
- symmetry = Im-3m, No. 229

```
22
Lattice="7.1371 0.0000 -2.5234 -3.5686 6.1809 -2.5234 0.0000 0.0000 7.5701" Properties=species:S:1:pos:R:3 pbc="T T T"
Pa 5.1188 0.0000 3.6195
Pa 2.0184 0.0000 1.4272
Pa -1.0092 1.7480 1.4272
Pa -2.5594 4.4330 3.6195
Pa 1.0092 1.7480 -1.4272
Pa 2.5594 4.4330 -3.6195
Co 3.5686 1.8459 2.5234
Co 4.6343 0.0000 1.0162
Co 2.5028 0.0000 4.0306
Co 0.0000 4.3350 0.0000
Co -2.3172 4.0134 1.0162
Co 3.7542 2.1675 0.0000
Co -0.1857 4.0134 2.5234
Co -1.2514 2.1675 4.0306
Co 0.1857 4.0134 -2.5234
Co 2.3172 4.0134 -1.0162
Co 1.2514 2.1675 3.5395
Co 3.3829 2.1675 -2.5234
Ge -1.7843 3.0905 -1.2617
Ge 3.5686 0.0000 -1.2617
Ge 0.0000 0.0000 3.7850
Ge 1.7843 3.0905 1.2617
```

---

Entry from Alexandria via LeMat-Bulk: crystalline Cu2ReAs at its relaxed geometry (PBE).

Summary:
- energy of formation from the pure elements (eV per atom) = 0.2830
- symmetry = R3m, No. 160

```
4
Lattice="8.2303 0.0002 0.0001 7.7266 2.8351 0.0001 7.7266 1.3729 2.4805" Properties=species:S:1:pos:R:3 pbc="T T T"
As 17.8235 3.1670 1.8670
Cu 23.6124 4.1956 2.4733
Cu 5.9619 1.0593 0.6245
Re 11.8110 2.0986 1.2372
```

---

Entry from Alexandria via LeMat-Bulk: crystalline LaAl2Hg at its relaxed geometry (PBE).

Summary:
- energy of formation from the pure elements (eV per atom) = -0.3666
- symmetry = Amm2, No. 38

```
8
Lattice="-3.7103 2.8553 0.3151 -0.4031 -3.8693 -4.6241 -3.2711 -4.7177 4.2328" Properties=species:S:1:pos:R:3 pbc="T T T"
La -4.6482 -2.1825 -0.0153
La -2.1698 1.0875 -0.4648
Al -2.4572 -3.4710 2.5204
Al -1.2169 -1.6823 0.9155
Al -3.5259 -0.3787 -3.1468
Al -3.7708 -4.6675 -2.1068
Hg -3.8941 -5.1507 0.8206
Hg -1.9556 -2.3549 -1.6878
```